{"formula": "Ho3Ni2Ge4", "functional": "PBE-GGA", "state": "relaxed", "lattice_angstrom": [[5.278, -2.078, 0.000], [5.278, 2.078, 0.000], [-2.303, 0.000, 7.701]], "species": ["Ho", "Ho", "Ho", "Ni", "Ni", "Ge", "Ge", "Ge", "Ge"], "frac_coords": [[0.000, 0.000, 0.000], [0.374, 0.374, 0.307], [0.626, 0.626, 0.693], [0.308, 0.308, 0.630], [0.692, 0.692, 0.370], [0.089, 0.089, 0.398], [0.292, 0.292, 0.924], [0.708, 0.708, 0.076], [0.911, 0.911, 0.602]], "formation_energy_mev_per_atom": -777.4, "polymorph_energy_kj_per_mol_fu": 0}

{"formula": "Pr2TmGa", "functional": "PBE-GGA", "state": "relaxed", "lattice_angstrom": [[4.820, 0.000, 0.000], [0.000, 4.820, 0.000], [0.000, 0.000, 4.863]], "species": ["Pr", "Pr", "Tm", "Ga"], "frac_coords": [[0.000, 0.500, 0.000], [0.500, 0.000, 0.000], [0.000, 0.000, 0.500], [0.500, 0.500, 0.500]], "formation_energy_mev_per_atom": -221.3, "polymorph_energy_kj_per_mol_fu": 12}

{"formula": "SrCuN", "functional": "PBE-GGA", "state": "relaxed", "lattice_angstrom": [[9.083, 0.000, 0.000], [0.000, 13.261, 0.000], [0.000, 0.000, 5.396]], "species": ["Sr", "Sr", "Sr", "Sr", "Sr", "Sr", "Sr", "Sr", "Sr", "Sr", "Sr", "Sr", "Cu", "Cu", "Cu", "Cu", "Cu", "Cu", "Cu", "Cu", "Cu", "Cu", "Cu", "Cu", "N", "N", "N", "N", "N", "N", "N", "N", "N", "N", "N", "N"], "frac_coords": [[0.021, 0.250, 0.003], [0.161, 0.586, 0.516], [0.161, 0.914, 0.516], [0.339, 0.086, 0.016], [0.339, 0.414, 0.016], [0.479, 0.750, 0.503], [0.521, 0.250, 0.497], [0.661, 0.586, 0.984], [0.661, 0.914, 0.984], [0.839, 0.086, 0.484], [0.839, 0.414, 0.484], [0.979, 0.750, 0.997], [0.000, 0.000, 0.000], [0.000, 0.500, 0.000], [0.179, 0.156, 0.514], [0.179, 0.344, 0.514], [0.321, 0.656, 0.014], [0.321, 0.844, 0.014], [0.500, 0.000, 0.500], [0.500, 0.500, 0.500], [0.679, 0.156, 0.986], [0.679, 0.344, 0.986], [0.821, 0.656, 0.486], [0.821, 0.844, 0.486], [0.087, 0.081, 0.760], [0.087, 0.419, 0.760], [0.242, 0.750, 0.785], [0.258, 0.250, 0.285], [0.413, 0.581, 0.260], [0.413, 0.919, 0.260], [0.587, 0.081, 0.740], [0.587, 0.419, 0.740], [0.742, 0.750, 0.715], [0.758, 0.250, 0.215], [0.913, 0.581, 0.240], [0.913, 0.919, 0.240]], "raw_formation_energy_ev_per_fu": -1.3}

Raw total energy (computed, eV for the cell shown): -50.76; -17.94; -185.12